# SrLi2CuGe GGA-PBE optimized geometry
# Energy above the lowest structure with this stoichiometry = 0.6 kJ per mole of atoms
data_SrLi2CuGe
_chemical_formula_sum 'Sr1 Li2 Cu1 Ge1'
_space_group_name_H-M_alt 'P 4/m m m'
_space_group_IT_number 123
_space_group_name_Hall '-P 4 2'
_cell_length_a 4.883
_cell_length_b 4.883
_cell_length_c 4.674
_cell_angle_alpha 90.00
_cell_angle_beta 90.00
_cell_angle_gamma 90.00
loop_
_atom_site_label
_atom_site_type_symbol
_atom_site_fract_x
_atom_site_fract_y
_atom_site_fract_z
Sr1 Sr 0.000 0.000 0.000
Li1 Li 0.000 0.500 0.500
Cu1 Cu 0.500 0.500 0.000
Ge1 Ge 0.500 0.500 0.500

***

Material: SrLiCuGe
Method: DFT, GGA-PBE
State: optimized geometry

CIF file:
```
data_SrLiCuGe
_chemical_formula_sum 'Sr4 Li4 Cu4 Ge4'
_space_group_name_H-M_alt 'F -4 3 m'
_space_group_IT_number 216
_space_group_name_Hall 'F -4 2 3'
_cell_length_a 6.748
_cell_length_b 6.748
_cell_length_c 6.748
_cell_angle_alpha 90.00
_cell_angle_beta 90.00
_cell_angle_gamma 90.00
loop_
_atom_site_label
_atom_site_type_symbol
_atom_site_fract_x
_atom_site_fract_y
_atom_site_fract_z
Sr1 Sr 0.000 0.000 0.000
Li1 Li 0.250 0.250 0.250
Cu1 Cu 0.250 0.250 0.750
Ge1 Ge 0.000 0.000 0.500
```

***

# SrLi2CuGe GGA-PBE optimized geometry
# Energy above the lowest structure with this stoichiometry = 0.0 kJ per mole of atoms
data_SrLi2CuGe
_chemical_formula_sum 'Sr1 Li2 Cu1 Ge1'
_space_group_name_H-M_alt 'P 4/m m m'
_space_group_IT_number 123
_space_group_name_Hall '-P 4 2'
_cell_length_a 4.870
_cell_length_b 4.870
_cell_length_c 4.607
_cell_angle_alpha 90.00
_cell_angle_beta 90.00
_cell_angle_gamma 90.00
loop_
_atom_site_label
_atom_site_type_symbol
_atom_site_fract_x
_atom_site_fract_y
_atom_site_fract_z
Sr1 Sr 0.000 0.000 0.000
Li1 Li 0.000 0.500 0.500
Cu1 Cu 0.500 0.500 0.500
Ge1 Ge 0.500 0.500 0.000

***

# SrLi2CuGe GGA-PBE optimized geometry
# Energy above the lowest structure with this stoichiometry = 122.8 kJ per mole of atoms
data_SrLi2CuGe
_chemical_formula_sum 'Sr1 Li2 Cu1 Ge1'
_space_group_name_H-M_alt 'P 4/m m m'
_space_group_IT_number 123
_space_group_name_Hall '-P 4 2'
_cell_length_a 5.573
_cell_length_b 5.573
_cell_length_c 5.062
_cell_angle_alpha 90.00
_cell_angle_beta 90.00
_cell_angle_gamma 90.00
loop_
_atom_site_label
_atom_site_type_symbol
_atom_site_fract_x
_atom_site_fract_y
_atom_site_fract_z
Sr1 Sr 0.000 0.000 0.000
Li1 Li 0.000 0.500 0.000
Cu1 Cu 0.000 0.000 0.500
Ge1 Ge 0.500 0.500 0.500

***

Material: LiTaCuGe2
Method: DFT, GGA-PBE
State: optimized geometry

CIF file:
```
data_LiTaCuGe2
_chemical_formula_sum 'Li1 Ta1 Cu1 Ge2'
_space_group_name_H-M_alt 'P 4/m m m'
_space_group_IT_number 123
_space_group_name_Hall '-P 4 2'
_cell_length_a 4.606
_cell_length_b 4.606
_cell_length_c 4.008
_cell_angle_alpha 90.00
_cell_angle_beta 90.00
_cell_angle_gamma 90.00
loop_
_atom_site_label
_atom_site_type_symbol
_atom_site_fract_x
_atom_site_fract_y
_atom_site_fract_z
Li1 Li 0.000 0.000 0.000
Ta1 Ta 0.500 0.500 0.000
Cu1 Cu 0.000 0.000 0.500
Ge1 Ge 0.000 0.500 0.500
```

***

Material: Li2TaCuGe
Method: DFT, GGA-PBE
State: optimized geometry

CIF file:
```
data_Li2TaCuGe
_chemical_formula_sum 'Li2 Ta1 Cu1 Ge1'
_space_group_name_H-M_alt 'P 4/m m m'
_space_group_IT_number 123
_space_group_name_Hall '-P 4 2'
_cell_length_a 5.099
_cell_length_b 5.099
_cell_length_c 4.921
_cell_angle_alpha 90.00
_cell_angle_beta 90.00
_cell_angle_gamma 90.00
loop_
_atom_site_label
_atom_site_type_symbol
_atom_site_fract_x
_atom_site_fract_y
_atom_site_fract_z
Li1 Li 0.000 0.500 0.000
Ta1 Ta 0.000 0.000 0.000
Cu1 Cu 0.500 0.500 0.500
Ge1 Ge 0.000 0.000 0.500
```

***

The DFT formation energy results, record by record, are as follows: -0.148 -0.204 -0.154 1.119 0.657 1.353 eV/atom.
The theoretical density results, record by record, are as follows: 3.5 5.0 3.6 2.5 7.7 4.3 g/cm3.